First-principles (PBE) data for an optimized crystal structure of SrReSe2O, as listed in Alexandria.

abc: 5.835 5.835 6.798
angles: 90.00 90.00 90.00
Space group P4/mmm (No. 123)
Asymmetric unit:
Sr 0.000 0.000 0.000
Re 0.000 0.000 0.500
Se 0.000 0.500 0.000
O 0.500 0.500 0.500

The value obtained for the formation energy (no corrections) is 1816 meV per atom. The value obtained for the spin magnetization is 5.35 μB/cell. For the density of states at the Fermi level, the calculation gives 5.03 states/eV/atom. Its total energy is -16.98 eV per cell.


First-principles (PBE) data for an optimized crystal structure of ZnCoCl2, as listed in Alexandria.

abc: 3.3945 3.3945 27.6952
angles: 90.00 90.00 120.00
Space group R-3m (No. 166, hexagonal axes)
Asymmetric unit:
Zn 0.0000 0.0000 0.0000
Co 0.0000 0.0000 0.5000
Cl 0.0000 0.0000 0.1157

The value obtained for the formation energy (no corrections) is -217 meV per atom. The value obtained for the spin magnetization is 8.40 μB/cell. For the density of states at the Fermi level, the calculation gives 0.91 states/eV/atom. Its total energy is -38.83 eV per cell.


First-principles (PBE) data for an optimized crystal structure of SrLiLa2, as listed in Alexandria.

abc: 9.317 9.317 6.750
angles: 90.00 90.00 90.00
Space group I-42d (No. 122)
Asymmetric unit:
Sr 0.000 0.000 0.000
Li 0.000 0.000 0.500
La 0.212 0.250 0.625

The value obtained for the spin magnetization is 0.00 μB/cell. For the density of states at the Fermi level, the calculation gives 2.14 states/eV/atom. Its total energy is -48.88 eV per cell. As for the energy of formation: 1.23 eV per formula unit.


First-principles (PBE) data for an optimized crystal structure of Tl2AgRh3F12, as listed in Alexandria.

abc: 7.4795 7.4795 18.5069
angles: 90.00 90.00 120.00
Space group R-3m (No. 166, hexagonal axes)
Asymmetric unit:
Tl 0.0000 0.0000 0.1320
Ag 0.0000 0.0000 0.5000
Rh 0.0000 0.5000 0.0000
F 0.0291 0.5145 0.8922
F 0.0606 0.5303 0.3174

The value obtained for the formation energy (no corrections) is -1562 meV per atom. The value obtained for the spin magnetization is 0.00 μB/cell. Its total energy is -240.64 eV per cell.


First-principles (PBE) data for an optimized crystal structure of LaMg2PRu, as listed in Alexandria.

abc: 5.890 5.890 4.627
angles: 90.00 90.00 90.00
Space group P4/mmm (No. 123)
Asymmetric unit:
La 0.000 0.000 0.000
Mg 0.000 0.500 0.000
P 0.500 0.500 0.500
Ru 0.000 0.000 0.500

The value obtained for the spin magnetization is 0.40 μB/cell. For the density of states at the Fermi level, the calculation gives 0.93 states/eV/atom. Its total energy is -15.78 eV per cell. As for the energy of formation: 7.03 eV per formula unit.


First-principles (PBE) data for an optimized crystal structure of Sr2Np2O7, as listed in Alexandria.

abc: 7.233 8.095 5.683
angles: 90.00 90.00 90.00
Space group Cmmm (No. 65)
Asymmetric unit:
Sr 0.249 0.000 0.000
Np 0.000 0.227 0.500
O 0.000 0.000 0.278
O 0.000 0.500 0.500
O 0.250 0.250 0.271

The value obtained for the formation energy (no corrections) is -2897 meV per atom. The value obtained for the spin magnetization is 8.00 μB/cell. For the density of states at the Fermi level, the calculation gives 1.12 states/eV/atom. Its total energy is -191.64 eV per cell.


First-principles (PBE) data for an optimized crystal structure of Ta3GaMo, as listed in Alexandria.

abc: 4.827 4.827 4.827
angles: 90.00 90.00 90.00
Space group Pm-3m (No. 221)
Asymmetric unit:
Ta 0.000 0.000 0.500
Ga 0.500 0.500 0.500
Mo 0.000 0.000 0.000

The value obtained for the spin magnetization is 0.00 μB/cell. For the density of states at the Fermi level, the calculation gives 0.80 states/eV/atom. Its total energy is -42.52 eV per cell. As for the energy of formation: 6.89 eV per formula unit.